The following is a PBE calculation of an optimized crystal structure of Nb2MoP2, from the Alexandria database.

Summary:
Magnetization, μB/f.u.: 0.0
Calculated formation energy, eV per atom: -0.630

Cell lengths 6.628, 6.628, 3.438 Å; angles 90.00, 90.00, 90.00 degrees
Positions (direct):
Mo 0.000 0.000 0.000
Nb 0.344 0.156 0.500
P 0.355 0.855 0.000
Nb 0.156 0.656 0.500
Mo 0.500 0.500 0.000
Nb 0.844 0.344 0.500
P 0.145 0.355 0.000
Nb 0.656 0.844 0.500
P 0.645 0.145 0.000
P 0.855 0.645 0.000